A plane-wave DFT calculation with GGA-PBE was carried out for crystalline PmHo2Ag3S6 at its relaxed geometry. Values from VASP.

Calculated values
SG: No. 12
E_tot: -62.77 eV per cell

Cell and atoms, written as Quantum ESPRESSO input:
```
&SYSTEM
  ibrav = 0, nat = 12, ntyp = 4
/
ATOMIC_SPECIES
S 32.06 S.upf
Ag 107.87 Ag.upf
Pm 145.00 Pm.upf
Ho 164.93 Ho.upf
ATOMIC_POSITIONS crystal
S 0.011 0.801 0.021
S 0.686 0.147 0.373
S 0.657 0.520 0.315
S 0.343 0.480 0.685
S 0.989 0.199 0.979
S 0.314 0.853 0.627
Ag 0.827 0.059 0.654
Ag 0.500 0.500 0.000
Ag 0.173 0.941 0.346
Pm 0.500 0.000 0.000
Ho 0.166 0.337 0.332
Ho 0.834 0.663 0.668
CELL_PARAMETERS angstrom
4.074 0.000 0.000
0.000 9.545 0.419
-2.037 -2.439 7.368
```

A plane-wave DFT calculation with GGA-PBE was carried out for crystalline Pm2HoAgS5 at its relaxed geometry. Values from VASP.

Calculated values
SG: No. 36
E_tot: -105.36 eV per cell

Cell and atoms, written as Quantum ESPRESSO input:
```
&SYSTEM
  ibrav = 0, nat = 18, ntyp = 4
/
ATOMIC_SPECIES
S 32.06 S.upf
Pm 145.00 Pm.upf
Ag 107.87 Ag.upf
Ho 164.93 Ho.upf
ATOMIC_POSITIONS crystal
S 0.359 0.717 0.000
S 0.502 0.003 0.273
S 0.287 0.574 0.663
S 0.713 0.426 0.163
S 0.953 0.905 0.584
S 0.047 0.095 0.084
S 0.306 0.611 0.346
S 0.498 0.997 0.773
S 0.694 0.389 0.846
S 0.641 0.283 0.500
Pm 0.874 0.748 0.803
Pm 0.126 0.252 0.303
Pm 0.890 0.779 0.185
Pm 0.110 0.221 0.685
Ag 0.461 0.923 0.466
Ag 0.539 0.077 0.966
Ho 0.805 0.609 0.506
Ho 0.195 0.391 0.006
CELL_PARAMETERS angstrom
-2.056 -1.763 -2.906
7.975 0.100 -2.987
2.038 -10.750 5.080
```

A plane-wave DFT calculation with GGA-PBE was carried out for crystalline PmHoScAg at its relaxed geometry. Values from VASP.

Calculated values
SG: No. 99
Distance to the lowest polymorph of the same formula: 0.0000 eV per atom
E_form: -10.25 kJ per mole of atoms

Cell and atoms, written as Quantum ESPRESSO input:
```
&SYSTEM
  ibrav = 0, nat = 4, ntyp = 4
/
ATOMIC_SPECIES
Ho 164.93 Ho.upf
Sc 44.96 Sc.upf
Pm 145.00 Pm.upf
Ag 107.87 Ag.upf
ATOMIC_POSITIONS crystal
Ho 0.500 0.500 0.779
Sc 0.500 0.500 0.367
Pm 0.000 0.000 0.086
Ag 0.000 0.000 0.553
CELL_PARAMETERS angstrom
-0.580 -3.502 -0.167
2.479 -0.529 2.490
-5.863 0.685 5.983
```

A plane-wave DFT calculation with GGA-PBE was carried out for crystalline PmHoScAg at its relaxed geometry. Values from VASP.

Calculated values
SG: No. 216
Distance to the lowest polymorph of the same formula: 0.2142 eV per atom
E_form: 10.42 kJ per mole of atoms

Cell and atoms, written as Quantum ESPRESSO input:
```
&SYSTEM
  ibrav = 0, nat = 4, ntyp = 4
/
ATOMIC_SPECIES
Ag 107.87 Ag.upf
Ho 164.93 Ho.upf
Sc 44.96 Sc.upf
Pm 145.00 Pm.upf
ATOMIC_POSITIONS crystal
Ag 0.500 0.500 0.500
Ho 0.250 0.250 0.250
Sc 0.750 0.750 0.750
Pm 0.000 0.000 0.000
CELL_PARAMETERS angstrom
-1.212 0.222 -5.095
-4.944 -0.789 -1.555
-2.837 4.002 -1.847
```

A plane-wave DFT calculation with GGA-PBE was carried out for crystalline PmHo2Ag3Se6 at its relaxed geometry. Values from VASP.

Calculated values
SG: No. 12
E_tot: -57.52 eV per cell

Cell and atoms, written as Quantum ESPRESSO input:
```
&SYSTEM
  ibrav = 0, nat = 12, ntyp = 4
/
ATOMIC_SPECIES
Ag 107.87 Ag.upf
Se 78.96 Se.upf
Pm 145.00 Pm.upf
Ho 164.93 Ho.upf
ATOMIC_POSITIONS crystal
Ag 0.826 0.042 0.652
Ag 0.500 0.500 0.000
Ag 0.174 0.958 0.348
Se 0.013 0.798 0.026
Se 0.311 0.852 0.622
Se 0.658 0.525 0.316
Se 0.689 0.148 0.378
Se 0.342 0.475 0.684
Se 0.987 0.202 0.974
Pm 0.500 0.000 0.000
Ho 0.836 0.663 0.673
Ho 0.164 0.337 0.327
CELL_PARAMETERS angstrom
-1.557 3.703 1.314
-0.154 -3.379 9.336
8.057 1.573 -1.680
```

A plane-wave DFT calculation with GGA-PBE was carried out for crystalline Pm2HoAgSe5 at its relaxed geometry. Values from VASP.

Calculated values
SG: No. 36
E_tot: -96.37 eV per cell

Cell and atoms, written as Quantum ESPRESSO input:
```
&SYSTEM
  ibrav = 0, nat = 18, ntyp = 4
/
ATOMIC_SPECIES
Ho 164.93 Ho.upf
Ag 107.87 Ag.upf
Se 78.96 Se.upf
Pm 145.00 Pm.upf
ATOMIC_POSITIONS crystal
Ho 0.804 0.609 0.509
Ho 0.196 0.391 0.009
Ag 0.557 0.114 0.960
Ag 0.443 0.886 0.460
Se 0.286 0.572 0.667
Se 0.694 0.389 0.845
Se 0.714 0.428 0.167
Se 0.641 0.281 0.500
Se 0.954 0.908 0.580
Se 0.498 0.995 0.773
Se 0.046 0.092 0.080
Se 0.359 0.719 0.000
Se 0.502 0.005 0.273
Se 0.306 0.611 0.345
Pm 0.875 0.749 0.805
Pm 0.125 0.251 0.305
Pm 0.110 0.220 0.686
Pm 0.890 0.780 0.186
CELL_PARAMETERS angstrom
4.132 0.000 0.000
-2.066 8.723 0.000
0.000 0.000 12.501
```

A plane-wave DFT calculation with GGA-PBE was carried out for crystalline Pm2HoAg3Se6 at its relaxed geometry. Values from VASP.

Calculated values
SG: No. 12
E_tot: -57.60 eV per cell

Cell and atoms, written as Quantum ESPRESSO input:
```
&SYSTEM
  ibrav = 0, nat = 12, ntyp = 4
/
ATOMIC_SPECIES
Ag 107.87 Ag.upf
Se 78.96 Se.upf
Pm 145.00 Pm.upf
Ho 164.93 Ho.upf
ATOMIC_POSITIONS crystal
Ag 0.164 0.725 0.327
Ag 0.500 0.500 0.000
Ag 0.836 0.275 0.673
Se 0.677 0.121 0.355
Se 0.657 0.535 0.315
Se 0.981 0.191 0.962
Se 0.323 0.879 0.645
Se 0.019 0.809 0.038
Se 0.343 0.465 0.685
Pm 0.161 0.314 0.322
Pm 0.839 0.686 0.678
Ho 0.500 0.000 0.000
CELL_PARAMETERS angstrom
-0.696 1.349 -4.002
-7.715 -5.860 -0.634
-2.796 6.262 4.885
```

A plane-wave DFT calculation with GGA-PBE was carried out for crystalline PmHoSiAg at its relaxed geometry. Values from VASP.

Calculated values
SG: No. 216
E_tot: -19.32 eV per cell

Cell and atoms, written as Quantum ESPRESSO input:
```
&SYSTEM
  ibrav = 0, nat = 4, ntyp = 4
/
ATOMIC_SPECIES
Ho 164.93 Ho.upf
Pm 145.00 Pm.upf
Si 28.09 Si.upf
Ag 107.87 Ag.upf
ATOMIC_POSITIONS crystal
Ho 0.000 0.000 0.000
Pm 0.500 0.500 0.500
Si 0.750 0.750 0.750
Ag 0.250 0.250 0.250
CELL_PARAMETERS angstrom
5.105 0.000 0.000
2.552 4.421 0.000
2.552 1.474 4.168
```

A plane-wave DFT calculation with GGA-PBE was carried out for crystalline PmSmHoAg at its relaxed geometry. Values from VASP.

Calculated values
SG: No. 99
Distance to the lowest polymorph of the same formula: 0.0000 eV per atom
E_form: -12.27 kJ per mole of atoms

Cell and atoms, written as Quantum ESPRESSO input:
```
&SYSTEM
  ibrav = 0, nat = 4, ntyp = 4
/
ATOMIC_SPECIES
Ho 164.93 Ho.upf
Ag 107.87 Ag.upf
Pm 145.00 Pm.upf
Sm 150.36 Sm.upf
ATOMIC_POSITIONS crystal
Ho 0.500 0.500 0.363
Ag 0.000 0.000 0.560
Pm 0.000 0.000 0.077
Sm 0.500 0.500 0.784
CELL_PARAMETERS angstrom
-1.006 -1.091 3.320
-3.236 -1.012 -1.313
3.204 -8.067 -1.681
```

A plane-wave DFT calculation with GGA-PBE was carried out for crystalline PmSmHoAg at its relaxed geometry. Values from VASP.

Calculated values
SG: No. 216
Distance to the lowest polymorph of the same formula: 0.2289 eV per atom
E_form: 9.82 kJ per mole of atoms

Cell and atoms, written as Quantum ESPRESSO input:
```
&SYSTEM
  ibrav = 0, nat = 4, ntyp = 4
/
ATOMIC_SPECIES
Ho 164.93 Ho.upf
Pm 145.00 Pm.upf
Sm 150.36 Sm.upf
Ag 107.87 Ag.upf
ATOMIC_POSITIONS crystal
Ho 0.500 0.500 0.500
Pm 0.750 0.750 0.750
Sm 0.000 0.000 0.000
Ag 0.250 0.250 0.250
CELL_PARAMETERS angstrom
5.445 0.000 0.000
2.723 4.716 0.000
2.723 1.572 4.446
```

A plane-wave DFT calculation with GGA-PBE was carried out for crystalline PmHoAgSn at its relaxed geometry. Values from VASP.

Calculated values
SG: No. 216
E_form: -49.15 kJ per mole of atoms

Cell and atoms, written as Quantum ESPRESSO input:
```
&SYSTEM
  ibrav = 0, nat = 4, ntyp = 4
/
ATOMIC_SPECIES
Ho 164.93 Ho.upf
Pm 145.00 Pm.upf
Ag 107.87 Ag.upf
Sn 118.71 Sn.upf
ATOMIC_POSITIONS crystal
Ho 0.500 0.500 0.500
Pm 0.000 0.000 0.000
Ag 0.750 0.750 0.750
Sn 0.250 0.250 0.250
CELL_PARAMETERS angstrom
5.288 0.000 0.000
2.644 4.579 0.000
2.644 1.526 4.317
```

A plane-wave DFT calculation with GGA-PBE was carried out for crystalline Pm2HoAg3Te6 at its relaxed geometry. Values from VASP.

Calculated values
SG: No. 12
E_tot: -51.74 eV per cell

Cell and atoms, written as Quantum ESPRESSO input:
```
&SYSTEM
  ibrav = 0, nat = 12, ntyp = 4
/
ATOMIC_SPECIES
Te 127.60 Te.upf
Ho 164.93 Ho.upf
Pm 145.00 Pm.upf
Ag 107.87 Ag.upf
ATOMIC_POSITIONS crystal
Te 0.659 0.039 0.318
Te 0.341 0.961 0.682
Te 0.009 0.256 0.018
Te 0.339 0.428 0.678
Te 0.661 0.572 0.322
Te 0.991 0.744 0.982
Ho 0.500 0.000 0.000
Pm 0.172 0.308 0.343
Pm 0.828 0.692 0.657
Ag 0.500 0.500 0.000
Ag 0.207 0.770 0.414
Ag 0.793 0.230 0.586
CELL_PARAMETERS angstrom
-2.736 1.012 3.361
6.030 -2.277 5.594
3.183 9.152 -3.110
```

Number 1: ρ 5.66 g/cm³. Number 2: ρ 6.05 g/cm³. Number 3: ρ 7.24 g/cm³. Number 4: ρ 7.54 g/cm³. Number 5: ρ 6.46 g/cm³. Number 6: ρ 7.06 g/cm³. Number 7: ρ 6.32 g/cm³. Number 8: ρ 7.87 g/cm³. Number 9: ρ 8.07 g/cm³. Number 10: ρ 8.26 g/cm³. Number 11: ρ 8.52 g/cm³. Number 12: ρ 6.98 g/cm³.